# CaZnMo2

A relaxed structure of CaZnMo2 (PBE, Alexandria via LeMat-Bulk).

The calculated total energy is -45.9 eV/cell. The volume is 77 Å³/f.u.

It has space group Imm2 (No. 44), with a = 3.389 Å, b = 5.016 Å, c = 9.084 Å, α = 90.00°, β = 90.00° and γ = 90.00°. The asymmetric unit holds Ca at (0.000, 0.000, 0.000), Zn at (0.000, 0.500, 0.224), Mo at (0.000, 0.000, 0.471) and Mo at (0.000, 0.500, 0.778).